Here is crystalline PaFeGeOs at its relaxed geometry from the Alexandria database. Energies are from PBE.

Cell lengths 6.478, 6.478, 6.478 Å; angles 90.00, 90.00, 90.00 degrees
Space group F-43m (No. 216)
Unique sites:
Pa1 0.000 0.000 0.000
Fe1 0.250 0.250 0.750
Ge1 0.000 0.000 0.500
Os1 0.250 0.250 0.250

Computed properties:
DFT formation energy	-0.0410	eV per atom

Here is crystalline PmFeGe2Os at its relaxed geometry from the Alexandria database. Energies are from PBE.

Cell lengths 4.103, 4.103, 10.540 Å; angles 90.00, 90.00, 90.00 degrees
Space group I-4m2 (No. 119)
Unique sites:
Pm1 0.000 0.000 0.000
Fe1 0.000 0.500 0.250
Ge1 0.000 0.000 0.375
Os1 0.000 0.500 0.750

Computed properties:
DFT formation energy	-0.4181	eV per atom

Here is crystalline FeSiGeOs at its relaxed geometry from the Alexandria database. Energies are from PBE.

Cell lengths 5.875, 5.875, 5.875 Å; angles 90.00, 90.00, 90.00 degrees
Space group F-43m (No. 216)
Unique sites:
Fe1 0.000 0.000 0.000
Si1 0.250 0.250 0.250
Ge1 0.250 0.250 0.750
Os1 0.000 0.000 0.500

Computed properties:
formation energy without anion corrections	-0.102	eV/atom

Here is crystalline Fe2SiGeOs at its relaxed geometry from the Alexandria database. Energies are from PBE.

Cell lengths 4.336, 4.336, 4.587 Å; angles 90.00, 90.00, 90.00 degrees
Space group P4/mmm (No. 123)
Unique sites:
Fe1 0.000 0.500 0.000
Si1 0.000 0.000 0.500
Ge1 0.000 0.000 0.000
Os1 0.500 0.500 0.500

Computed properties:
formation energy without anion corrections	1.526	eV/atom